(1)
NpBr5N2 after structural relaxation. Source: Alexandria, functional GGA-PBE.

The volume is 45.8 Å³/atom. As for the total energy: -4.226 eV per atom.

The structure belongs to space group P1 (No. 1); the cell edges are 5.6438, 8.5177 and 8.5234 Å and the angles 83.73°, 71.30° and 70.76°. The distinct sites, in fractional coordinates, are Np at (0.0000, 0.0000, 0.0000), Br at (0.1577, 0.0001, 0.6733), Br at (0.1623, 0.6722, 0.0013), Br at (0.4999, 0.0001, 0.0000), Br at (0.8379, 0.3278, 0.9987), Br at (0.8422, 0.0000, 0.3267), N at (0.3342, 0.3365, 0.4988) and N at (0.6702, 0.6630, 0.5021).

(2)
NpBr3N after structural relaxation. Source: Alexandria, functional GGA-PBE.

The volume is 39.7 Å³/atom. As for the total energy: -5.262 eV per atom.

The structure belongs to space group P-1 (No. 2); the cell edges are 5.7635, 8.0712 and 8.6001 Å and the angles 93.90°, 90.90° and 96.12°. The distinct sites, in fractional coordinates, are Np at (0.0010, 0.0032, 0.2502), Br at (0.0353, 0.2421, 0.0128), Br at (0.0371, 0.2422, 0.5187), Br at (0.4983, 0.9912, 0.7495) and N at (0.4369, 0.5309, 0.2637).

(3)
PbBrN2O after structural relaxation. Source: Alexandria, functional GGA-PBE.

The volume is 19.2 Å³/atom. As for the total energy: -3.750 eV per atom.

The structure belongs to space group P4/mmm (No. 123); the cell edges are 4.6801, 4.6801 and 4.3855 Å and the angles 90.00°, 90.00° and 90.00°. The distinct sites, in fractional coordinates, are Pb at (0.0000, 0.0000, 0.0000), Br at (0.5000, 0.5000, 0.5000), N at (0.0000, 0.5000, 0.0000) and O at (0.0000, 0.0000, 0.5000).

(4)
PdBrNO2 after structural relaxation. Source: Alexandria, functional GGA-PBE.

The volume is 12.7 Å³/atom. As for the total energy: -3.532 eV per atom.

The structure belongs to space group P4/mmm (No. 123); the cell edges are 3.7142, 3.7142 and 4.6006 Å and the angles 90.00°, 90.00° and 90.00°. The distinct sites, in fractional coordinates, are Pd at (0.0000, 0.0000, 0.0000), Br at (0.5000, 0.5000, 0.5000), N at (0.5000, 0.5000, 0.0000) and O at (0.0000, 0.5000, 0.5000).

(5)
PdBrNO2 after structural relaxation. Source: Alexandria, functional GGA-PBE.

The volume is 13.1 Å³/atom. As for the total energy: -3.940 eV per atom.

The structure belongs to space group P4/mmm (No. 123); the cell edges are 4.0198, 4.0198 and 4.0442 Å and the angles 90.00°, 90.00° and 90.00°. The distinct sites, in fractional coordinates, are Pd at (0.0000, 0.0000, 0.0000), Br at (0.5000, 0.5000, 0.5000), N at (0.0000, 0.0000, 0.5000) and O at (0.0000, 0.5000, 0.0000).

(6)
PtBrNO2 after structural relaxation. Source: Alexandria, functional GGA-PBE.

The volume is 12.9 Å³/atom. As for the total energy: -4.278 eV per atom.

The structure belongs to space group P4/mmm (No. 123); the cell edges are 4.0903, 4.0903 and 3.8434 Å and the angles 90.00°, 90.00° and 90.00°. The distinct sites, in fractional coordinates, are Pt at (0.0000, 0.0000, 0.0000), Br at (0.5000, 0.5000, 0.5000), N at (0.0000, 0.0000, 0.5000) and O at (0.0000, 0.5000, 0.0000).

(7)
PtBrNO2 after structural relaxation. Source: Alexandria, functional GGA-PBE.

The volume is 13.1 Å³/atom. As for the total energy: -3.491 eV per atom.

The structure belongs to space group P4/mmm (No. 123); the cell edges are 3.6383, 3.6383 and 4.9464 Å and the angles 90.00°, 90.00° and 90.00°. The distinct sites, in fractional coordinates, are Pt at (0.0000, 0.0000, 0.0000), Br at (0.5000, 0.5000, 0.5000), N at (0.5000, 0.5000, 0.0000) and O at (0.0000, 0.5000, 0.5000).

(8)
Pu2BrNO after structural relaxation. Source: Alexandria, functional GGA-PBE.

The volume is 20.1 Å³/atom. As for the total energy: -10.676 eV per atom.

The structure belongs to space group C2/m (No. 12); the cell edges are 12.9369, 3.8757 and 9.7368 Å and the angles 90.00°, 124.65° and 90.00°. The distinct sites, in fractional coordinates, are Pu at (0.0585, 0.0000, 0.3009), Pu at (0.1555, 0.5000, 0.0526), Br at (0.1710, 0.5000, 0.6181), N at (0.0480, 0.5000, 0.1768) and O at (0.1443, 0.0000, 0.9165).

(9)
RbBrN2O after structural relaxation. Source: Alexandria, functional GGA-PBE.

The volume is 16.8 Å³/atom. As for the total energy: -3.366 eV per atom.

The structure belongs to space group P4/mmm (No. 123); the cell edges are 4.4377, 4.4377 and 4.2577 Å and the angles 90.00°, 90.00° and 90.00°. The distinct sites, in fractional coordinates, are Rb at (0.0000, 0.0000, 0.0000), Br at (0.5000, 0.5000, 0.5000), N at (0.0000, 0.5000, 0.5000) and O at (0.5000, 0.5000, 0.0000).

(10)
RbBrN2O after structural relaxation. Source: Alexandria, functional GGA-PBE.

The volume is 36.8 Å³/atom. As for the total energy: -2.778 eV per atom.

The structure belongs to space group P4/mmm (No. 123); the cell edges are 5.7669, 5.7669 and 5.5295 Å and the angles 90.00°, 90.00° and 90.00°. The distinct sites, in fractional coordinates, are Rb at (0.0000, 0.0000, 0.0000), Br at (0.5000, 0.5000, 0.5000), N at (0.0000, 0.5000, 0.0000) and O at (0.0000, 0.0000, 0.5000).

(11)
Rb2Br6NO after structural relaxation. Source: Alexandria, functional GGA-PBE.

The volume is 29.1 Å³/atom. As for the total energy: -2.631 eV per atom.

The structure belongs to space group I4/mmm (No. 139); the cell edges are 8.1978, 8.1978 and 8.6728 Å and the angles 90.00°, 90.00° and 90.00°. The distinct sites, in fractional coordinates, are Rb at (0.0000, 0.5000, 0.2500), Br at (0.0000, 0.0000, 0.2284), Br at (0.2075, 0.2075, 0.5000), N at (0.0000, 0.0000, 0.5000) and O at (0.0000, 0.0000, 0.0000).

(12)
ReBrN2O after structural relaxation. Source: Alexandria, functional GGA-PBE.

The volume is 12.4 Å³/atom. As for the total energy: -6.612 eV per atom.

The structure belongs to space group P4/mmm (No. 123); the cell edges are 4.0127, 4.0127 and 3.8578 Å and the angles 90.00°, 90.00° and 90.00°. The distinct sites, in fractional coordinates, are Re at (0.0000, 0.0000, 0.0000), Br at (0.5000, 0.5000, 0.5000), N at (0.0000, 0.5000, 0.0000) and O at (0.0000, 0.0000, 0.5000).

(13)
ReBrN2O after structural relaxation. Source: Alexandria, functional GGA-PBE.

The volume is 12.4 Å³/atom. As for the total energy: -4.646 eV per atom.

The structure belongs to space group P4/mmm (No. 123); the cell edges are 4.1269, 4.1269 and 3.6405 Å and the angles 90.00°, 90.00° and 90.00°. The distinct sites, in fractional coordinates, are Re at (0.0000, 0.0000, 0.0000), Br at (0.5000, 0.5000, 0.5000), N at (0.0000, 0.5000, 0.5000) and O at (0.5000, 0.5000, 0.0000).

(14)
ReBrNO2 after structural relaxation. Source: Alexandria, functional GGA-PBE.

The volume is 13.4 Å³/atom. As for the total energy: -4.568 eV per atom.

The structure belongs to space group P4/mmm (No. 123); the cell edges are 3.7021, 3.7021 and 4.8911 Å and the angles 90.00°, 90.00° and 90.00°. The distinct sites, in fractional coordinates, are Re at (0.0000, 0.0000, 0.0000), Br at (0.5000, 0.5000, 0.5000), N at (0.5000, 0.5000, 0.0000) and O at (0.0000, 0.5000, 0.5000).

(15)
ReBrNO2 after structural relaxation. Source: Alexandria, functional GGA-PBE.

The volume is 12.3 Å³/atom. As for the total energy: -6.546 eV per atom.

The structure belongs to space group P4/mmm (No. 123); the cell edges are 3.8440, 3.8440 and 4.1761 Å and the angles 90.00°, 90.00° and 90.00°. The distinct sites, in fractional coordinates, are Re at (0.0000, 0.0000, 0.0000), Br at (0.5000, 0.5000, 0.5000), N at (0.0000, 0.0000, 0.5000) and O at (0.0000, 0.5000, 0.0000).

(16)
ReBrN2O after structural relaxation. Source: Alexandria, functional GGA-PBE.

The volume is 14.1 Å³/atom. As for the total energy: -4.288 eV per atom.

The structure belongs to space group P4/mmm (No. 123); the cell edges are 3.5936, 3.5936 and 5.4703 Å and the angles 90.00°, 90.00° and 90.00°. The distinct sites, in fractional coordinates, are Re at (0.0000, 0.0000, 0.0000), Br at (0.0000, 0.0000, 0.5000), N at (0.0000, 0.5000, 0.5000) and O at (0.5000, 0.5000, 0.0000).

(17)
ScBrNO2 after structural relaxation. Source: Alexandria, functional GGA-PBE.

The volume is 12.9 Å³/atom. As for the total energy: -5.005 eV per atom.

The structure belongs to space group P4/mmm (No. 123); the cell edges are 3.9269, 3.9269 and 4.1978 Å and the angles 90.00°, 90.00° and 90.00°. The distinct sites, in fractional coordinates, are Sc at (0.0000, 0.0000, 0.0000), Br at (0.5000, 0.5000, 0.5000), N at (0.5000, 0.5000, 0.0000) and O at (0.0000, 0.5000, 0.5000).

(18)
ScBrN2O after structural relaxation. Source: Alexandria, functional GGA-PBE.

The volume is 12.0 Å³/atom. As for the total energy: -5.078 eV per atom.

The structure belongs to space group P4/mmm (No. 123); the cell edges are 3.9347, 3.9347 and 3.8761 Å and the angles 90.00°, 90.00° and 90.00°. The distinct sites, in fractional coordinates, are Sc at (0.0000, 0.0000, 0.0000), Br at (0.5000, 0.5000, 0.5000), N at (0.0000, 0.5000, 0.5000) and O at (0.5000, 0.5000, 0.0000).

(19)
ScBrNO2 after structural relaxation. Source: Alexandria, functional GGA-PBE.

The volume is 15.6 Å³/atom. As for the total energy: -5.407 eV per atom.

The structure belongs to space group P4/mmm (No. 123); the cell edges are 4.0556, 4.0556 and 4.7324 Å and the angles 90.00°, 90.00° and 90.00°. The distinct sites, in fractional coordinates, are Sc at (0.0000, 0.0000, 0.0000), Br at (0.5000, 0.5000, 0.5000), N at (0.0000, 0.0000, 0.5000) and O at (0.0000, 0.5000, 0.0000).

(20)
ScBrN2O after structural relaxation. Source: Alexandria, functional GGA-PBE.

The volume is 16.1 Å³/atom. As for the total energy: -5.284 eV per atom.

The structure belongs to space group P4/mmm (No. 123); the cell edges are 4.5097, 4.5097 and 3.9612 Å and the angles 90.00°, 90.00° and 90.00°. The distinct sites, in fractional coordinates, are Sc at (0.0000, 0.0000, 0.0000), Br at (0.5000, 0.5000, 0.5000), N at (0.0000, 0.5000, 0.0000) and O at (0.0000, 0.0000, 0.5000).

(21)
SiBrNO2 after structural relaxation. Source: Alexandria, functional GGA-PBE.

The volume is 12.5 Å³/atom. As for the total energy: -3.792 eV per atom.

The structure belongs to space group P4/mmm (No. 123); the cell edges are 4.0389, 4.0389 and 3.8457 Å and the angles 90.00°, 90.00° and 90.00°. The distinct sites, in fractional coordinates, are Si at (0.0000, 0.0000, 0.0000), Br at (0.5000, 0.5000, 0.5000), N at (0.5000, 0.5000, 0.0000) and O at (0.0000, 0.5000, 0.5000).

(22)
SiBrNO2 after structural relaxation. Source: Alexandria, functional GGA-PBE.

The volume is 12.0 Å³/atom. As for the total energy: -5.328 eV per atom.

The structure belongs to space group P4/mmm (No. 123); the cell edges are 3.3090, 3.3090 and 5.4736 Å and the angles 90.00°, 90.00° and 90.00°. The distinct sites, in fractional coordinates, are Si at (0.0000, 0.0000, 0.0000), Br at (0.5000, 0.5000, 0.5000), N at (0.0000, 0.0000, 0.5000) and O at (0.0000, 0.5000, 0.0000).

(23)
SiBrN2O after structural relaxation. Source: Alexandria, functional GGA-PBE.

The volume is 10.1 Å³/atom. As for the total energy: -5.169 eV per atom.

The structure belongs to space group P4/mmm (No. 123); the cell edges are 3.8618, 3.8618 and 3.3843 Å and the angles 90.00°, 90.00° and 90.00°. The distinct sites, in fractional coordinates, are Si at (0.0000, 0.0000, 0.0000), Br at (0.5000, 0.5000, 0.5000), N at (0.0000, 0.5000, 0.0000) and O at (0.0000, 0.0000, 0.5000).

(24)
SiBrN2O after structural relaxation. Source: Alexandria, functional GGA-PBE.

The volume is 12.2 Å³/atom. As for the total energy: -3.735 eV per atom.

The structure belongs to space group P4/mmm (No. 123); the cell edges are 3.9624, 3.9624 and 3.9000 Å and the angles 90.00°, 90.00° and 90.00°. The distinct sites, in fractional coordinates, are Si at (0.0000, 0.0000, 0.0000), Br at (0.5000, 0.5000, 0.5000), N at (0.0000, 0.5000, 0.5000) and O at (0.5000, 0.5000, 0.0000).

(25)
SnBrNO2 after structural relaxation. Source: Alexandria, functional GGA-PBE.

The volume is 14.4 Å³/atom. As for the total energy: -4.295 eV per atom.

The structure belongs to space group P4/mmm (No. 123); the cell edges are 3.9946, 3.9946 and 4.5062 Å and the angles 90.00°, 90.00° and 90.00°. The distinct sites, in fractional coordinates, are Sn at (0.0000, 0.0000, 0.0000), Br at (0.5000, 0.5000, 0.5000), N at (0.0000, 0.0000, 0.5000) and O at (0.0000, 0.5000, 0.0000).

(26)
SnBrNO2 after structural relaxation. Source: Alexandria, functional GGA-PBE.

The volume is 13.5 Å³/atom. As for the total energy: -3.981 eV per atom.

The structure belongs to space group P4/mmm (No. 123); the cell edges are 4.1887, 4.1887 and 3.8602 Å and the angles 90.00°, 90.00° and 90.00°. The distinct sites, in fractional coordinates, are Sn at (0.0000, 0.0000, 0.0000), Br at (0.5000, 0.5000, 0.5000), N at (0.5000, 0.5000, 0.0000) and O at (0.0000, 0.5000, 0.5000).

(27)
Sr6Br3N2O after structural relaxation. Source: Alexandria, functional GGA-PBE.

The volume is 24.7 Å³/atom. As for the total energy: -4.580 eV per atom.

The structure belongs to space group C2/m (No. 12); the cell edges are 6.8156, 11.8052 and 7.7120 Å and the angles 90.00°, 107.12° and 90.00°. The distinct sites, in fractional coordinates, are Sr at (0.2245, 0.0000, 0.1848), Sr at (0.2302, 0.3314, 0.1852), Br at (0.0000, 0.0000, 0.5000), Br at (0.0000, 0.3337, 0.5000), N at (0.0000, 0.1667, 0.0000) and O at (0.0000, 0.5000, 0.0000).